Entry one
# PBE-GGA Ta2AlZn, optimized geometry
data_Ta2AlZn
_chemical_formula_sum 'Ta2 Al1 Zn1'
_cell_length_a 2.834
_cell_length_b 2.834
_cell_length_c 8.380
_cell_angle_alpha 90.00
_cell_angle_beta 90.00
_cell_angle_gamma 90.00
_space_group_name_H-M_alt 'P 1'
_space_group_IT_number 1
loop_
_space_group_symop_operation_xyz
'x,y,z'
loop_
_atom_site_label
_atom_site_fract_x
_atom_site_fract_y
_atom_site_fract_z
Zn1 0.000 0.000 0.509
Al1 0.500 0.500 0.742
Ta1 0.000 0.000 0.986
Ta2 0.500 0.500 0.263
# Symmetry = P4mm

Entry two
# PBE-GGA Ta2AlZn, optimized geometry
data_Ta2AlZn
_chemical_formula_sum 'Ta2 Al1 Zn1'
_cell_length_a 5.046
_cell_length_b 5.046
_cell_length_c 2.817
_cell_angle_alpha 89.98
_cell_angle_beta 89.98
_cell_angle_gamma 112.52
_space_group_name_H-M_alt 'P 1'
_space_group_IT_number 1
loop_
_space_group_symop_operation_xyz
'x,y,z'
loop_
_atom_site_label
_atom_site_fract_x
_atom_site_fract_y
_atom_site_fract_z
Al1 0.000 0.500 0.500
Zn1 0.500 0.000 0.500
Ta1 0.000 0.000 0.000
Ta2 0.500 0.500 0.000
# Symmetry = Cmmm

Entry three
# PBE-GGA Ta2AlZn, optimized geometry
data_Ta2AlZn
_chemical_formula_sum 'Ta2 Al1 Zn1'
_cell_length_a 4.849
_cell_length_b 4.849
_cell_length_c 2.811
_cell_angle_alpha 90.00
_cell_angle_beta 90.00
_cell_angle_gamma 90.00
_space_group_name_H-M_alt 'P 1'
_space_group_IT_number 1
loop_
_space_group_symop_operation_xyz
'x,y,z'
loop_
_atom_site_label
_atom_site_fract_x
_atom_site_fract_y
_atom_site_fract_z
Al1 0.000 0.500 0.500
Ta1 0.500 0.500 0.000
Ta2 0.000 0.000 0.000
Zn1 0.500 0.000 0.500
# Symmetry = P4/mmm

Ranking the structures above from most stable to least stable yields entry two, entry one, entry three.